Record 1
LaCeSi2Pt2 | PBE-GGA | relaxed

## Properties
SG ... P-3m1
E_form (uncorrected) ... -1127 meV per atom

a = 4.2427 Å, b = 4.2427 Å, c = 8.3020 Å
α = 90.00°, β = 90.00°, γ = 120.00°
Last column: nearest neighbours and their distance in Å.
Element x y z (fractional)
Si 0.6667 0.3333 0.2656  3 Pt 2.45
Si 0.3333 0.6667 0.7344  3 Pt 2.45
Ce 0.0000 0.0000 0.5000  6 Si 3.13, 6 Pt 3.18
Pt 0.6667 0.3333 0.7437  3 Si 2.45
Pt 0.3333 0.6667 0.2563  3 Si 2.45
La 0.0000 0.0000 0.0000  6 Pt 3.24, 6 Si 3.30

---

Record 2
LaCe2Si2Pt2 | PBE-GGA | relaxed

## Properties
SG ... R-3m
E_form (uncorrected) ... -978 meV per atom

a = 4.3003 Å, b = 4.3003 Å, c = 9.7353 Å
α = 77.24°, β = 77.24°, γ = 60.00°
Last column: nearest neighbours and their distance in Å.
Element x y z (fractional)
Ce 0.1388 0.1388 0.5835  3 Ce 2.94, 3 Si 3.03, 3 Pt 3.08
Ce 0.8612 0.8612 0.4165  3 Ce 2.94, 3 Si 3.03, 3 Pt 3.08
Pt 0.4074 0.4074 0.7778  3 Si 2.48
Pt 0.5926 0.5926 0.2222  3 Si 2.48
Si 0.2557 0.2557 0.2328  3 Pt 2.48
Si 0.7443 0.7443 0.7672  3 Pt 2.48
La 0.0000 0.0000 0.0000  6 Pt 3.25, 6 Si 3.31

---

Record 3
LaCeSnPt | PBE-GGA | relaxed

## Properties
DFT formation energy ... -67.65 kJ per mole of atoms
SG ... P4/nmm

a = 4.2796 Å, b = 4.2796 Å, c = 11.4916 Å
α = 90.00°, β = 90.00°, γ = 90.00°
Last column: nearest neighbours and their distance in Å.
Element x y z (fractional)
Ce 0.0000 0.0000 0.5000  4 Ce 3.03, 4 Pt 3.13
Ce 0.5000 0.5000 0.5000  4 Ce 3.03, 4 Pt 3.13
Sn 0.0000 0.5000 0.0567  1 Pt 2.81
Sn 0.5000 0.0000 0.9433  1 Pt 2.81
Pt 0.0000 0.5000 0.3015  1 Sn 2.81, 4 Ce 3.13, 4 La 3.15
Pt 0.5000 0.0000 0.6985  1 Sn 2.81, 4 Ce 3.13, 4 La 3.15
La 0.0000 0.5000 0.7735  4 Pt 3.15, 1 Sn 3.25
La 0.5000 0.0000 0.2265  4 Pt 3.15, 1 Sn 3.25

---

Record 4
LaCeTh2Pt4 | PBE-GGA | relaxed

## Properties
DFT formation energy ... -111.32 kJ per mole of atoms
SG ... I4/mmm

a = 5.9315 Å, b = 5.9315 Å, c = 7.2888 Å
α = 114.01°, β = 114.01°, γ = 90.00°
Last column: nearest neighbours and their distance in Å.
Element x y z (fractional)
Th 0.6870 0.1870 0.5000  6 Pt 2.97-2.98
Th 0.1870 0.6870 0.5000  6 Pt 2.97-2.98
Ce 0.4374 0.4374 0.0000  6 Pt 2.92-2.97
Pt 0.6823 0.6823 0.4905  1 Ce 2.92, 4 Th 2.97, 1 La 3.04
Pt 0.9374 0.4373 0.0000  2 La 2.97, 2 Ce 2.97, 2 Th 2.98
Pt 0.4373 0.9374 0.0000  2 La 2.97, 2 Ce 2.97, 2 Th 2.98
Pt 0.1917 0.1917 0.5095  1 Ce 2.92, 4 Th 2.97, 1 La 3.04
La 0.9373 0.9373 0.0000  6 Pt 2.97-3.04

---

Record 5
LaCe4Pu | PBE-GGA | relaxed

## Properties
DFT formation energy ... 23.90 kJ per mole of atoms
SG ... F-43m

a = 6.1920 Å, b = 6.1920 Å, c = 6.1920 Å
α = 60.00°, β = 60.00°, γ = 60.00°
Last column: nearest neighbours and their distance in Å.
Element x y z (fractional)
Ce 0.1273 0.6242 0.6242  6 Ce 3.08-3.11
Ce 0.6242 0.1273 0.6242  6 Ce 3.08-3.11
Ce 0.6242 0.6242 0.6242  6 Ce 3.08-3.11
Ce 0.6242 0.6242 0.1273  6 Ce 3.08-3.11
Pu 0.0000 0.0000 0.0000  12 Ce 3.63, 4 La 3.79
La 0.2500 0.2500 0.2500  12 Ce 3.63, 4 Pu 3.79

---

Record 6
LaCePu | PBE-GGA | relaxed

## Properties
Distance to the lowest polymorph of the same formula ... 15 kJ/mol of formula units
DFT formation energy ... 16.89 kJ per mole of atoms
SG ... C2/m

a = 3.9445 Å, b = 8.3920 Å, c = 18.4630 Å
α = 153.60°, β = 83.87°, γ = 76.41°
Last column: nearest neighbours and their distance in Å.
Element x y z (fractional)
La 0.8296 0.5837 0.7571  3 La 3.20-3.52, 3 Pu 3.22-3.37
La 0.1704 0.4163 0.2429  3 La 3.20-3.52, 3 Pu 3.22-3.37
Ce 0.5251 0.7552 0.1947  2 Pu 2.72
Ce 0.4749 0.2448 0.8053  2 Pu 2.72
Pu 0.5830 0.3293 0.5047  2 Ce 2.72, 1 Pu 2.95
Pu 0.4170 0.6707 0.4953  2 Ce 2.72, 1 Pu 2.95

---

Record 7
La14CePu | PBE-GGA | relaxed

## Properties
DFT formation energy ... 3.84 kJ per mole of atoms
SG ... Amm2

a = 7.3617 Å, b = 7.3617 Å, c = 10.3798 Å
α = 90.00°, β = 90.00°, γ = 89.99°
Last column: nearest neighbours and their distance in Å.
Element x y z (fractional)
La 0.1242 0.3744 0.2385  1 Pu 3.59, 10 La 3.59-3.77, 1 Ce 3.60
La 0.1244 0.8756 0.7582  10 La 3.59-3.75, 1 Pu 3.61, 1 Ce 3.62
La 0.6256 0.8758 0.7615  1 Pu 3.59, 10 La 3.59-3.77, 1 Ce 3.60
La 0.1244 0.8756 0.2418  10 La 3.59-3.75, 1 Pu 3.61, 1 Ce 3.62
La 0.8753 0.1247 0.5000  12 La 3.67-3.78
La 0.6261 0.3739 0.7643  1 Pu 3.56, 1 Ce 3.58, 10 La 3.60-3.79
La 0.8725 0.6226 0.5000  12 La 3.67-3.76
La 0.8784 0.6290 0.0000  8 La 3.59-3.60, 2 Pu 3.65-3.71, 2 Ce 3.66-3.70
La 0.1242 0.3744 0.7615  1 Pu 3.59, 10 La 3.59-3.77, 1 Ce 3.60
La 0.3710 0.1216 0.0000  8 La 3.59-3.60, 2 Pu 3.65-3.71, 2 Ce 3.66-3.70
La 0.6261 0.3739 0.2357  1 Pu 3.56, 1 Ce 3.58, 10 La 3.60-3.79
La 0.3746 0.6254 0.5000  12 La 3.67-3.79
La 0.3774 0.1275 0.5000  12 La 3.67-3.76
La 0.6256 0.8758 0.2385  1 Pu 3.59, 10 La 3.59-3.77, 1 Ce 3.60
Pu 0.8747 0.1253 0.0000  12 La 3.56-3.71
Ce 0.3756 0.6244 0.0000  12 La 3.58-3.70

---

Record 8
LaCePu2 | PBE-GGA | relaxed

## Properties
Distance to the lowest polymorph of the same formula ... 16 kJ/mol of formula units
DFT formation energy ... 19.65 kJ per mole of atoms
SG ... P4/mmm

a = 4.8508 Å, b = 4.8591 Å, c = 4.8591 Å
α = 90.00°, β = 90.00°, γ = 90.00°
Last column: nearest neighbours and their distance in Å.
Element x y z (fractional)
La 0.5000 0.5000 0.5000  8 Pu 3.43, 4 Ce 3.44
Ce 0.5000 0.0000 0.0000  8 Pu 3.43, 4 La 3.44
Pu 0.0000 0.5000 0.0000  4 La 3.43, 4 Ce 3.43, 4 Pu 3.44
Pu 0.0000 0.0000 0.5000  4 La 3.43, 4 Ce 3.43, 4 Pu 3.44

---

Record 9
La2CePu | PBE-GGA | relaxed

## Properties
Distance to the lowest polymorph of the same formula ... 3 kJ/mol of formula units
DFT formation energy ... 14.44 kJ per mole of atoms
SG ... P4/mmm

a = 3.5327 Å, b = 3.5327 Å, c = 10.1022 Å
α = 90.00°, β = 90.00°, γ = 90.00°
Last column: nearest neighbours and their distance in Å.
Element x y z (fractional)
Ce 0.5000 0.5000 0.5000  8 La 3.52, 4 Ce 3.53
Pu 0.5000 0.5000 0.0000  4 Pu 3.53, 8 La 3.59
La 0.0000 0.0000 0.7451  4 Ce 3.52, 4 La 3.53, 4 Pu 3.59
La 0.0000 0.0000 0.2549  4 Ce 3.52, 4 La 3.53, 4 Pu 3.59

---

Record 10
LaCePu2 | PBE-GGA | relaxed

## Properties
Distance to the lowest polymorph of the same formula ... 29 kJ/mol of formula units
DFT formation energy ... 22.93 kJ per mole of atoms
SG ... Fm-3m

a = 5.5016 Å, b = 5.5016 Å, c = 5.5016 Å
α = 60.00°, β = 60.00°, γ = 60.00°
Last column: nearest neighbours and their distance in Å.
Element x y z (fractional)
Pu 0.7500 0.7500 0.7500  4 Ce 3.37, 4 La 3.37
Pu 0.2500 0.2500 0.2500  4 La 3.37, 4 Ce 3.37
Ce 0.0000 0.0000 0.0000  8 Pu 3.37
La 0.5000 0.5000 0.5000  8 Pu 3.37

---

Record 11
La2CePu | PBE-GGA | relaxed

## Properties
Distance to the lowest polymorph of the same formula ... 0 kJ/mol of formula units
DFT formation energy ... 13.63 kJ per mole of atoms
SG ... P4/mmm

a = 5.1223 Å, b = 4.9350 Å, c = 4.9350 Å
α = 90.00°, β = 90.00°, γ = 90.00°
Last column: nearest neighbours and their distance in Å.
Element x y z (fractional)
Pu 0.5000 0.0000 0.0000  4 Ce 3.49, 8 La 3.56
La 0.0000 0.0000 0.5000  4 La 3.49, 4 Ce 3.56, 4 Pu 3.56
La 0.0000 0.5000 0.0000  4 La 3.49, 4 Ce 3.56, 4 Pu 3.56
Ce 0.5000 0.5000 0.5000  4 Pu 3.49, 8 La 3.56

---

Record 12
La2CePu | PBE-GGA | relaxed

## Properties
Distance to the lowest polymorph of the same formula ... 49 kJ/mol of formula units
DFT formation energy ... 25.92 kJ per mole of atoms
SG ... R-3m

a = 3.4906 Å, b = 3.4906 Å, c = 12.3680 Å
α = 81.89°, β = 81.89°, γ = 60.00°
Last column: nearest neighbours and their distance in Å.
Element x y z (fractional)
Pu 0.0000 0.0000 0.0000  2 La 3.27, 6 Pu 3.49
La 0.0892 0.0892 0.7324  1 Pu 3.27, 3 Ce 3.48, 6 La 3.49
La 0.9108 0.9108 0.2676  1 Pu 3.27, 3 Ce 3.48, 6 La 3.49
Ce 0.5000 0.5000 0.5000  6 La 3.48, 6 Ce 3.49

---

Record 13
LaCePu2 | PBE-GGA | relaxed

## Properties
Distance to the lowest polymorph of the same formula ... 0 kJ/mol of formula units
DFT formation energy ... 15.76 kJ per mole of atoms
SG ... P4/mmm

a = 3.3931 Å, b = 3.3931 Å, c = 9.6709 Å
α = 90.00°, β = 90.00°, γ = 90.00°
Last column: nearest neighbours and their distance in Å.
Element x y z (fractional)
Pu 0.0000 0.0000 0.7759  4 Ce 3.23, 4 Pu 3.39, 4 La 3.59
Pu 0.0000 0.0000 0.2241  4 Ce 3.23, 4 Pu 3.39, 4 La 3.59
La 0.5000 0.5000 0.5000  4 La 3.39, 8 Pu 3.59
Ce 0.5000 0.5000 0.0000  8 Pu 3.23, 4 Ce 3.39

---

Record 14
La2CePu | PBE-GGA | relaxed

## Properties
Distance to the lowest polymorph of the same formula ... 14 kJ/mol of formula units
DFT formation energy ... 17.11 kJ per mole of atoms
SG ... R3m

a = 3.5584 Å, b = 3.5584 Å, c = 11.8970 Å
α = 81.40°, β = 81.40°, γ = 60.00°
Last column: nearest neighbours and their distance in Å.
Element x y z (fractional)
Pu 0.6675 0.6675 0.9976  6 La 3.53-3.58, 6 Pu 3.56
La 0.2507 0.2507 0.2480  6 La 3.56, 3 Pu 3.58, 3 Ce 3.61
La 0.0824 0.0824 0.7527  3 Pu 3.53, 6 La 3.56, 3 Ce 3.59
Ce 0.4994 0.4994 0.5017  6 Ce 3.56, 6 La 3.59-3.61

---

Record 15
LaCePu | PBE-GGA | relaxed

## Properties
Distance to the lowest polymorph of the same formula ... 38 kJ/mol of formula units
DFT formation energy ... 24.53 kJ per mole of atoms
SG ... P-6m2

a = 3.1912 Å, b = 5.6105 Å, c = 5.6105 Å
α = 120.00°, β = 90.00°, γ = 90.00°
Last column: nearest neighbours and their distance in Å.
Element x y z (fractional)
Ce 0.1664 0.0000 0.0000  2 Ce 3.19, 3 La 3.24
Pu 0.6666 0.3333 0.6667  2 Pu 3.19
La 0.1670 0.6667 0.3333  2 La 3.19, 3 Ce 3.24

---

Record 16
LaCePu | PBE-GGA | relaxed

## Properties
Distance to the lowest polymorph of the same formula ... 0 kJ/mol of formula units
DFT formation energy ... 11.79 kJ per mole of atoms
SG ... I4mm

a = 3.4661 Å, b = 3.4661 Å, c = 7.6671 Å
α = 103.06°, β = 103.06°, γ = 90.00°
Last column: nearest neighbours and their distance in Å.
Element x y z (fractional)
La 0.3321 0.3321 0.6642  4 La 3.47, 4 Ce 3.56, 4 Pu 3.60
Ce 0.6542 0.6542 0.3085  4 Pu 3.19, 4 Ce 3.47, 4 La 3.56
Pu 0.0137 0.0137 0.0273  4 Ce 3.19, 4 Pu 3.47

---

Record 17
La2CePuRu2 | PBE-GGA | relaxed

## Properties
DFT formation energy ... -18.32 kJ per mole of atoms
SG ... Ibam

a = 7.3362 Å, b = 7.2419 Å, c = 8.0152 Å
α = 116.86°, β = 117.24°, γ = 90.00°
Last column: nearest neighbours and their distance in Å.
Element x y z (fractional)
Ru 0.3179 0.5692 0.1384  2 Ce 2.71, 2 Pu 2.72, 1 La 2.91
Ru 0.6821 0.4308 0.8616  2 Ce 2.71, 2 Pu 2.72, 1 La 2.91
Ru 0.1795 0.9308 0.8616  2 Ce 2.71, 2 Pu 2.72, 1 La 2.91
Ru 0.8205 0.0692 0.1384  2 Ce 2.71, 2 Pu 2.72, 1 La 2.91
La 0.8996 0.6951 0.3902  1 Ru 2.91
La 0.1004 0.3049 0.6098  1 Ru 2.91
La 0.4906 0.1951 0.3902  1 Ru 2.91
La 0.5094 0.8049 0.6098  1 Ru 2.91
Ce 0.0000 0.7500 0.0000  4 Ru 2.71
Ce 0.0000 0.2500 0.0000  4 Ru 2.71
Pu 0.5000 0.2500 0.0000  4 Ru 2.72
Pu 0.5000 0.7500 0.0000  4 Ru 2.72

---

Record 18
La4CePu3S8 | PBE-GGA | relaxed

## Properties
SG ... R-3m
E_form (uncorrected) ... -1999 meV per atom

a = 8.1111 Å, b = 8.1623 Å, c = 8.1111 Å
α = 119.79°, β = 120.00°, γ = 90.00°
Last column: nearest neighbours and their distance in Å.
Element x y z (fractional)
Pu 0.5000 0.5000 0.0000  6 S 2.82
Pu 0.5000 0.5000 0.5000  6 S 2.82
Pu 0.0000 0.5000 0.5000  6 S 2.82
Ce 0.0000 0.5000 0.0000  6 S 2.84
S 0.2470 0.7367 0.4941  2 Pu 2.82, 1 Ce 2.84, 3 La 2.91-2.94
S 0.2470 0.7368 0.9897  2 Pu 2.82, 1 Ce 2.84, 3 La 2.91-2.94
S 0.7530 0.2632 0.0103  2 Pu 2.82, 1 Ce 2.84, 3 La 2.91-2.94
S 0.2573 0.2632 0.0103  2 Pu 2.82, 1 Ce 2.84, 3 La 2.91-2.94
S 0.7448 0.7343 0.4895  3 Pu 2.82, 3 La 2.94
S 0.7530 0.2633 0.5059  2 Pu 2.82, 1 Ce 2.84, 3 La 2.91-2.94
S 0.2552 0.2657 0.5105  3 Pu 2.82, 3 La 2.94
S 0.7427 0.7368 0.9897  2 Pu 2.82, 1 Ce 2.84, 3 La 2.91-2.94
La 0.0000 0.0000 0.0000  6 S 2.94
La 0.5000 0.0000 0.5000  6 S 2.94
La 0.5000 0.0000 0.0000  6 S 2.91
La 0.0000 0.0000 0.5000  6 S 2.94

---

Record 19
La2Ce3PuS6 | PBE-GGA | relaxed

## Properties
SG ... C2/m
E_form (uncorrected) ... -2029 meV per atom

a = 4.0574 Å, b = 8.1461 Å, c = 9.0886 Å
α = 103.11°, β = 102.90°, γ = 90.00°
Last column: nearest neighbours and their distance in Å.
Element x y z (fractional)
S 0.6652 0.5884 0.3304  3 Ce 2.85, 3 La 2.91-2.92
S 0.0031 0.7569 0.0062  3 Ce 2.84-2.91, 2 Pu 2.84, 1 La 2.91
S 0.3356 0.9235 0.6713  1 Pu 2.83, 3 Ce 2.84-2.89, 2 La 2.90
S 0.9969 0.2431 0.9938  3 Ce 2.84-2.91, 2 Pu 2.84, 1 La 2.91
S 0.6644 0.0765 0.3287  1 Pu 2.83, 3 Ce 2.84-2.89, 2 La 2.90
S 0.3348 0.4116 0.6696  3 Ce 2.85, 3 La 2.91-2.92
La 0.1656 0.3322 0.3313  6 S 2.90-2.92
La 0.8344 0.6678 0.6687  6 S 2.90-2.92
Ce 0.1679 0.8348 0.3358  6 S 2.84-2.89
Ce 0.8321 0.1652 0.6642  6 S 2.84-2.89
Ce 0.5000 0.5000 0.0000  6 S 2.85-2.91
Pu 0.5000 0.0000 0.0000  6 S 2.83-2.84

---

Record 20
La2CePuS4 | PBE-GGA | relaxed

## Properties
SG ... P2/m
E_form (uncorrected) ... -2033 meV per atom

a = 4.0606 Å, b = 7.0556 Å, c = 7.0902 Å
α = 109.27°, β = 90.00°, γ = 90.00°
Last column: nearest neighbours and their distance in Å.
Element x y z (fractional)
S 0.5000 0.2493 0.2392  1 Pu 2.83, 2 Ce 2.85, 3 La 2.92-2.94
S 0.0000 0.7428 0.2368  2 Pu 2.82, 1 Ce 2.85, 3 La 2.92-2.94
S 0.0000 0.2572 0.7632  2 Pu 2.82, 1 Ce 2.85, 3 La 2.92-2.94
S 0.5000 0.7507 0.7608  1 Pu 2.83, 2 Ce 2.85, 3 La 2.92-2.94
Ce 0.0000 0.0000 0.0000  6 S 2.85
Pu 0.5000 0.5000 0.0000  6 S 2.82-2.83
La 0.5000 0.0000 0.5000  6 S 2.94
La 0.0000 0.5000 0.5000  6 S 2.92

---

Fermi-level density of states readings, ordered: 5.79 7.97 5.30 8.58 18.95 7.02 33.85 14.17 11.29 13.38 11.76 12.90 14.26 14.93 13.19 8.42 11.67 27.74 23.14 12.31 states/eV/f.u.
Magnetic moment readings, ordered: 0.0 0.9 0.0 0.6 4.1 5.9 5.2 12.1 7.0 14.5 7.0 6.0 11.2 7.1 6.3 5.7 5.7 17.7 8.2 6.5 μB per formula unit